Record 1
Density functional theory data (GGA-PBE) for crystalline Na2Tl4CdHg2 at its relaxed geometry.

Geometry as CIF:
```
data_Na2Tl4CdHg2
_chemical_formula_sum 'Na2 Tl4 Cd1 Hg2'
_cell_length_a 6.3169
_cell_length_b 6.8711
_cell_length_c 6.9377
_cell_angle_alpha 73.42
_cell_angle_beta 77.09
_cell_angle_gamma 65.48
_symmetry_space_group_name_H-M 'P -1'
_symmetry_Int_Tables_number 2
_symmetry_space_group_name_Hall '-P 1'
loop_
_atom_site_label
_atom_site_fract_x
_atom_site_fract_y
_atom_site_fract_z
Na1 0.1908 0.3116 0.3287
Tl1 0.2663 0.6910 0.8930
Tl2 0.2969 0.1848 0.8555
Cd1 0.5000 0.5000 0.5000
Hg1 0.1181 0.8776 0.3099
```

Results
- Formation enthalpy at 0 K: -67 meV per atom
- Mass density: 8.77 g cm⁻³
- D(E_F): 4.1 states/eV per cell



Record 2
Density functional theory data (GGA-PBE) for crystalline Na3Tl2Cd4Hg2 at its relaxed geometry.

Geometry as CIF:
```
data_Na3Tl2Cd4Hg2
_chemical_formula_sum 'Na3 Tl2 Cd4 Hg2'
_cell_length_a 5.1568
_cell_length_b 5.1568
_cell_length_c 12.9264
_cell_angle_alpha 90.00
_cell_angle_beta 90.00
_cell_angle_gamma 120.00
_symmetry_space_group_name_H-M 'P -3 m 1'
_symmetry_Int_Tables_number 164
_symmetry_space_group_name_Hall '-P 3 2"'
loop_
_atom_site_label
_atom_site_fract_x
_atom_site_fract_y
_atom_site_fract_z
Na1 0.0000 0.0000 0.0000
Na2 0.0000 0.0000 0.2600
Tl1 0.3333 0.6667 0.6019
Cd1 0.3333 0.6667 0.3609
Cd2 0.3333 0.6667 0.8738
Hg1 0.3333 0.6667 0.1234
```

Results
- Formation enthalpy at 0 K: -87 meV per atom
- Mass density: 7.41 g cm⁻³
- D(E_F): 6.4 states/eV per cell



Record 3
Density functional theory data (GGA-PBE) for crystalline NaTl2CdHg2 at its relaxed geometry.

Geometry as CIF:
```
data_NaTl2CdHg2
_chemical_formula_sum 'Na2 Tl4 Cd2 Hg4'
_cell_length_a 5.3107
_cell_length_b 9.1925
_cell_length_c 6.7194
_cell_angle_alpha 90.00
_cell_angle_beta 90.00
_cell_angle_gamma 90.00
_symmetry_space_group_name_H-M 'P m c 21'
_symmetry_Int_Tables_number 26
_symmetry_space_group_name_Hall 'P 2c -2'
loop_
_atom_site_label
_atom_site_fract_x
_atom_site_fract_y
_atom_site_fract_z
Na1 0.0000 0.0004 0.0000
Tl1 0.0000 0.3447 0.2526
Tl2 0.5000 0.4985 0.0009
Cd1 0.5000 0.1688 0.7478
Hg1 0.0000 0.3055 0.7515
Hg2 0.5000 0.1529 0.2497
```

Results
- Formation enthalpy at 0 K: -89 meV per atom
- Mass density: 9.57 g cm⁻³
- D(E_F): 5.5 states/eV per cell



Record 4
Density functional theory data (GGA-PBE) for crystalline Na2Tl5CdHg at its relaxed geometry.

Geometry as CIF:
```
data_Na2Tl5CdHg
_chemical_formula_sum 'Na8 Tl20 Cd4 Hg4'
_cell_length_a 4.2999
_cell_length_b 17.8425
_cell_length_c 13.7265
_cell_angle_alpha 90.00
_cell_angle_beta 90.00
_cell_angle_gamma 90.00
_symmetry_space_group_name_H-M 'C m c 21'
_symmetry_Int_Tables_number 36
_symmetry_space_group_name_Hall 'C 2c -2'
loop_
_atom_site_label
_atom_site_fract_x
_atom_site_fract_y
_atom_site_fract_z
Na1 0.0000 0.1053 0.0000
Na2 0.0000 0.1156 0.5565
Tl1 0.0000 0.0517 0.7713
Tl2 0.0000 0.2784 0.9223
Tl3 0.0000 0.2901 0.6354
Tl4 0.0000 0.3131 0.2738
Tl5 0.0000 0.4669 0.9097
Cd1 0.0000 0.1299 0.2784
Hg1 0.0000 0.4726 0.6356
```

Results
- Formation enthalpy at 0 K: -40 meV per atom
- Mass density: 8.71 g cm⁻³
- D(E_F): 14.9 states/eV per cell